# Pm2InSi3Ir4 PBE relaxed
# Formation energy without anion corrections (eV/atom): -0.850
# Crystal system: tetragonal
# VASP energy (eV per cell): -72.45
data_Pm2InSi3Ir4
_space_group_name_H-M_alt 'P -4 m 2'
_space_group_IT_number 115
_cell_length_a 4.198
_cell_length_b 4.198
_cell_length_c 10.368
_cell_angle_alpha 90.00
_cell_angle_beta 90.00
_cell_angle_gamma 90.00
loop_
_space_group_symop_operation_xyz
'x,y,z'
'y,-x,-z'
'-x,-y,z'
'-y,x,-z'
'-x,y,z'
'-y,-x,-z'
'x,-y,z'
'y,x,-z'
loop_
_atom_site_label
_atom_site_type_symbol
_atom_site_fract_x
_atom_site_fract_y
_atom_site_fract_z
_atom_site_occupancy
Pm1 Pm 0.000 0.500 0.245 1
In1 In 0.000 0.000 0.500 1
Si1 Si 0.000 0.500 0.877 1
Si2 Si 0.500 0.500 0.500 1
Ir1 Ir 0.000 0.000 0.000 1
Ir2 Ir 0.000 0.500 0.650 1
Ir3 Ir 0.500 0.500 0.000 1

# PmInSi2Ir5 PBE relaxed
# Formation energy without anion corrections (eV/atom): -0.270
# Crystal system: tetragonal
# VASP energy (eV per cell): -65.07
data_PmInSi2Ir5
_space_group_name_H-M_alt 'P 4/m m m'
_space_group_IT_number 123
_space_group_name_Hall '-P 4 2'
_cell_length_a 3.970
_cell_length_b 3.970
_cell_length_c 11.138
_cell_angle_alpha 90.00
_cell_angle_beta 90.00
_cell_angle_gamma 90.00
loop_
_atom_site_label
_atom_site_type_symbol
_atom_site_fract_x
_atom_site_fract_y
_atom_site_fract_z
_atom_site_occupancy
Pm1 Pm 0.000 0.000 0.000 1
In1 In 0.000 0.000 0.500 1
Si1 Si 0.500 0.500 0.210 1
Ir1 Ir 0.000 0.500 0.325 1
Ir2 Ir 0.500 0.500 0.000 1

# PmSmInIr PBE relaxed
# ΔH_f (0 K) (meV/atom): -445.9
# Crystal system: cubic
# VASP energy (eV per cell): -91.41
data_PmSmInIr
_space_group_name_H-M_alt 'F -4 3 m'
_space_group_IT_number 216
_space_group_name_Hall 'F -4 2 3'
_cell_length_a 7.346
_cell_length_b 7.346
_cell_length_c 7.346
_cell_angle_alpha 90.00
_cell_angle_beta 90.00
_cell_angle_gamma 90.00
loop_
_atom_site_label
_atom_site_type_symbol
_atom_site_fract_x
_atom_site_fract_y
_atom_site_fract_z
_atom_site_occupancy
Pm1 Pm 0.000 0.000 0.000 1
Sm1 Sm 0.000 0.000 0.500 1
In1 In 0.250 0.250 0.750 1
Ir1 Ir 0.250 0.250 0.250 1